# CeGa2Pd2Rh, relaxed, DFT PBE
# DOS at the Fermi energy (states/eV/cell): 7.32
# E (Ry/atom): -0.4025
# V (A^3/atom): 20.07
# Formation energy from the elements (meV per atom): -522
# Crystal system: tetragonal
# Total moment (μB/atom): 0.109
data_CeGa2Pd2Rh
_symmetry_space_group_name_H-M 'P 4/m m m'
_symmetry_Int_Tables_number 123
_symmetry_space_group_name_Hall '-P 4 2'
_cell_length_a 4.721
_cell_length_b 4.721
_cell_length_c 5.404
_cell_angle_alpha 90.00
_cell_angle_beta 90.00
_cell_angle_gamma 90.00
loop_
_atom_site_label
_atom_site_type_symbol
_atom_site_fract_x
_atom_site_fract_y
_atom_site_fract_z
Ce1 Ce 0.000 0.000 0.000
Ga1 Ga 0.000 0.500 0.500
Pd1 Pd 0.500 0.500 0.246
Rh1 Rh 0.000 0.000 0.500